Below is crystalline Sr2ZnPb at its relaxed geometry, with properties calculated at the GGA-PBE level.

Output
The total magnetization comes out at 0.00 μB per cell. Its calculated formation energy is -0.1587 eV/atom. The calculation puts the density of states at the Fermi level at 5.21 states/eV/f.u.

a = 9.854 Å, b = 9.854 Å, c = 9.854 Å
α = 24.49°, β = 24.49°, γ = 24.49°
Fractional positions:
Sr (0.244, 0.244, 0.244)
Sr (0.756, 0.756, 0.756)
Zn (0.500, 0.500, 0.500)
Pb (0.000, 0.000, 0.000)